(1)
Computed, not measured: a relaxed structure of Ni3W10 at the PBE level of DFT.

a b c (Å): 5.0936 5.0936 27.0541
angles (deg): 90.00 90.00 120.00
Space group R-3m (No. 166, hexagonal axes)
Asymmetric unit:
Ni: 0.0000 0.0000 0.0000
Ni: 0.0000 0.0000 0.4540
W: 0.0000 0.0000 0.1662
W: 0.0000 0.0000 0.3506
W: 0.0033 0.5017 0.4106

Summary:
Magnetization (μB/cell): 2.11
Energy above the lowest structure with this stoichiometry (eV/atom): 0.000

=====

(2)
Computed, not measured: a relaxed structure of TmPaAu at the PBE level of DFT.

a b c (Å): 6.882 6.882 6.882
angles (deg): 90.00 90.00 90.00
Space group F-43m (No. 216)
Asymmetric unit:
Tm: 0.000 0.000 0.000
Pa: 0.250 0.250 0.750
Au: 0.000 0.000 0.500

Summary:
Magnetization (μB/cell): 4.26
Energy above the lowest structure with this stoichiometry (eV/atom): 0.000

=====

(3)
Computed, not measured: a relaxed structure of La2Cd2AsPO2 at the PBE level of DFT.

a b c (Å): 4.201 4.201 9.102
angles (deg): 90.00 90.00 90.00
Space group P4mm (No. 99)
Asymmetric unit:
La: 0.000 0.000 0.000
La: 0.500 0.500 0.255
Cd: 0.000 0.500 0.621
As: 0.500 0.500 0.820
P: 0.000 0.000 0.435
O: 0.000 0.500 0.128

Summary:
Magnetization (μB/cell): 0.00
E_tot (Ry per atom): -0.423

=====

(4)
Computed, not measured: a relaxed structure of LaHf2Ir2 at the PBE level of DFT.

a b c (Å): 4.508 4.508 11.094
angles (deg): 90.00 90.00 90.00
Space group I4/mmm (No. 139)
Asymmetric unit:
La: 0.000 0.000 0.000
Hf: 0.000 0.500 0.250
Ir: 0.000 0.000 0.380

Summary:
Magnetization (μB/cell): 0.01
E_tot (Ry per atom): -0.688

=====

(5)
Computed, not measured: a relaxed structure of Tb2NdNi2B2N3 at the PBE level of DFT.

a b c (Å): 3.536 3.536 20.335
angles (deg): 90.00 90.00 90.00
Space group I4/mmm (No. 139)
Asymmetric unit:
Tb: 0.000 0.000 0.125
Nd: 0.000 0.000 0.500
Ni: 0.000 0.500 0.250
B: 0.000 0.000 0.308
N: 0.000 0.000 0.000
N: 0.000 0.000 0.380

Summary:
Magnetization (μB/cell): 0.01
E_tot (Ry per atom): -0.550

=====

(6)
Computed, not measured: a relaxed structure of KHoO3 at the PBE level of DFT.

a b c (Å): 6.5172 6.5172 13.3367
angles (deg): 90.00 90.00 120.00
Space group R-3c (No. 167, hexagonal axes)
Asymmetric unit:
K: 0.0000 0.0000 0.0000
Ho: 0.0000 0.0000 0.2500
O: 0.0000 0.3242 0.2500

Summary:
Magnetization (μB/cell): 12.00
E_tot (Ry per atom): -0.403

=====

(7)
Computed, not measured: a relaxed structure of LiSbPd2 at the PBE level of DFT.

a b c (Å): 6.399 6.399 6.399
angles (deg): 90.00 90.00 90.00
Space group F-43m (No. 216)
Asymmetric unit:
Li: 0.000 0.000 0.000
Sb: 0.250 0.250 0.750
Pd: 0.000 0.000 0.500
Pd: 0.250 0.250 0.250

Summary:
E_tot (Ry per atom): -0.336

=====

(8)
Computed, not measured: a relaxed structure of ThInAgSe3 at the PBE level of DFT.

a b c (Å): 4.304 14.331 11.032
angles (deg): 90.00 90.00 90.00
Space group Cmcm (No. 63)
Asymmetric unit:
Th: 0.000 0.000 0.000
In: 0.000 0.253 0.250
Ag: 0.000 0.461 0.750
Se: 0.000 0.077 0.750
Se: 0.000 0.365 0.546

Summary:
Magnetization (μB/cell): 0.01
E_tot (Ry per atom): -0.360

=====

(9)
Computed, not measured: a relaxed structure of Dy4Er2LuTe2Ir2 at the PBE level of DFT.

a b c (Å): 3.923 15.656 9.453
angles (deg): 90.00 90.00 90.00
Space group Imm2 (No. 44)
Asymmetric unit:
Dy: 0.000 0.146 0.000
Dy: 0.000 0.184 0.641
Er: 0.000 0.368 0.851
Lu: 0.000 0.500 0.269
Te: 0.000 0.000 0.504
Te: 0.000 0.500 0.606
Ir: 0.000 0.262 0.340

Summary:
Magnetization (μB/cell): 0.01
Energy above the lowest structure with this stoichiometry (eV/atom): 0.008

=====

(10)
Computed, not measured: a relaxed structure of InFeCuPt at the PBE level of DFT.

a b c (Å): 6.284 6.284 6.284
angles (deg): 90.00 90.00 90.00
Space group F-43m (No. 216)
Asymmetric unit:
In: 0.000 0.000 0.000
Fe: 0.000 0.000 0.500
Cu: 0.250 0.250 0.250
Pt: 0.250 0.250 0.750

Summary:
Magnetization (μB/cell): 12.84
Energy above the lowest structure with this stoichiometry (eV/atom): 0.000

=====

(11)
Computed, not measured: a relaxed structure of Y4GaFeN2 at the PBE level of DFT.

a b c (Å): 3.4746 3.4746 14.3197
angles (deg): 90.00 90.00 120.00
Space group P-6m2 (No. 187)
Asymmetric unit:
Y: 0.0000 0.0000 0.1385
Y: 0.6667 0.3333 0.3321
Ga: 0.0000 0.0000 0.5000
Fe: 0.6667 0.3333 0.0000
N: 0.3333 0.6667 0.2420

Summary:
Magnetization (μB/cell): 0.47
Energy above the lowest structure with this stoichiometry (eV/atom): 0.007

=====

(12)
Computed, not measured: a relaxed structure of RbErAlTe3 at the PBE level of DFT.

a b c (Å): 4.829 15.835 11.571
angles (deg): 90.00 90.00 90.00
Space group Cmcm (No. 63)
Asymmetric unit:
Rb: 0.000 0.249 0.250
Er: 0.000 0.500 0.000
Al: 0.000 0.018 0.750
Te: 0.000 0.121 0.562
Te: 0.000 0.436 0.750

Summary:
Magnetization (μB/cell): 0.05
Energy above the lowest structure with this stoichiometry (eV/atom): 0.000

=====

(13)
Computed, not measured: a relaxed structure of InCuTe3Pb at the PBE level of DFT.

a b c (Å): 4.297 13.525 11.878
angles (deg): 90.00 90.00 90.00
Space group Cmcm (No. 63)
Asymmetric unit:
In: 0.000 0.000 0.000
Cu: 0.000 0.454 0.250
Te: 0.000 0.077 0.250
Te: 0.000 0.355 0.061
Pb: 0.000 0.240 0.750

Summary:
Energy above the lowest structure with this stoichiometry (eV/atom): 0.000

=====

(14)
Computed, not measured: a relaxed structure of NiI4 at the PBE level of DFT.

a b c (Å): 12.050 12.131 10.285
angles (deg): 90.00 90.00 90.00
Space group Fdd2 (No. 43)
Asymmetric unit:
Ni: 0.000 0.000 0.000
I: 0.112 0.025 0.457
I: 0.112 0.160 0.094

Summary:
Magnetization (μB/cell): 0.99
Energy above the lowest structure with this stoichiometry (eV/atom): 0.119

=====

(15)
Computed, not measured: a relaxed structure of Tb2Al2CuPt3 at the PBE level of DFT.

a b c (Å): 4.3473 4.3473 9.1817
angles (deg): 90.00 90.00 120.00
Space group P3m1 (No. 156)
Asymmetric unit:
Tb: 0.0000 0.0000 0.0000
Tb: 0.3333 0.6667 0.4984
Al: 0.6667 0.3333 0.2473
Al: 0.6667 0.3333 0.7352
Cu: 0.3333 0.6667 0.8242
Pt: 0.0000 0.0000 0.3286
Pt: 0.0000 0.0000 0.6833
Pt: 0.3333 0.6667 0.1568

Summary:
Magnetization (μB/cell): 0.00
E_tot (Ry per atom): -0.429

=====

(16)
Computed, not measured: a relaxed structure of TmCu4Pd at the PBE level of DFT.

a b c (Å): 7.013 7.013 7.013
angles (deg): 90.00 90.00 90.00
Space group F-43m (No. 216)
Asymmetric unit:
Tm: 0.000 0.000 0.000
Cu: 0.124 0.124 0.624
Pd: 0.250 0.250 0.250

Summary:
Magnetization (μB/cell): 0.05
E_tot (Ry per atom): -0.328

=====

(17)
Computed, not measured: a relaxed structure of MgCu2Bi at the PBE level of DFT.

a b c (Å): 6.635 6.635 6.635
angles (deg): 90.00 90.00 90.00
Space group Pm-3m (No. 221)
Asymmetric unit:
Mg: 0.000 0.000 0.000
Mg: 0.000 0.000 0.500
Cu: 0.222 0.222 0.222
Bi: 0.000 0.500 0.500
Bi: 0.500 0.500 0.500

Summary:
E_tot (Ry per atom): -0.232

=====

(18)
Computed, not measured: a relaxed structure of Na7Cd2 at the PBE level of DFT.

a b c (Å): 5.4186 5.4186 9.8643
angles (deg): 90.00 90.00 120.00
Space group P-3m1 (No. 164)
Asymmetric unit:
Na: 0.0000 0.0000 0.0000
Na: 0.0000 0.0000 0.3250
Na: 0.3333 0.6667 0.5626
Na: 0.3333 0.6667 0.8939
Cd: 0.3333 0.6667 0.2286

Summary:
E_tot (Ry per atom): -0.092

=====

(19)
Computed, not measured: a relaxed structure of BaCuP at the PBE level of DFT.

a b c (Å): 8.2296 8.2296 4.0800
angles (deg): 90.00 90.00 120.00
Space group P-62m (No. 189)
Asymmetric unit:
Ba: 0.0000 0.2809 0.0000
Cu: 0.0000 0.6128 0.5000
P: 0.0000 0.0000 0.5000
P: 0.3333 0.6667 0.0000

Summary:
E_tot (Ry per atom): -0.264

=====

(20)
Computed, not measured: a relaxed structure of TaGaFeAg at the PBE level of DFT.

a b c (Å): 6.311 6.311 6.311
angles (deg): 90.00 90.00 90.00
Space group F-43m (No. 216)
Asymmetric unit:
Ta: 0.000 0.000 0.000
Ga: 0.250 0.250 0.250
Fe: 0.000 0.000 0.500
Ag: 0.250 0.250 0.750

Summary:
Magnetization (μB/cell): 8.26
Energy above the lowest structure with this stoichiometry (eV/atom): 0.112

=====

(21)
Computed, not measured: a relaxed structure of BaZnNiTe3 at the PBE level of DFT.

a b c (Å): 4.340 13.500 11.613
angles (deg): 90.00 90.00 90.00
Space group Cmcm (No. 63)
Asymmetric unit:
Ba: 0.000 0.244 0.250
Zn: 0.000 0.500 0.000
Ni: 0.000 0.060 0.750
Te: 0.000 0.137 0.551
Te: 0.000 0.467 0.750

Summary:
Magnetization (μB/cell): 0.01
Energy above the lowest structure with this stoichiometry (eV/atom): 0.000

=====

(22)
Computed, not measured: a relaxed structure of AcOs at the PBE level of DFT.

a b c (Å): 6.494 6.494 6.494
angles (deg): 90.00 90.00 90.00
Space group F-43m (No. 216)
Asymmetric unit:
Ac: 0.000 0.000 0.000
Os: 0.250 0.250 0.750

Summary:
Magnetization (μB/cell): 3.80
E_tot (Ry per atom): -0.459

=====

(23)
Computed, not measured: a relaxed structure of TmSiBi at the PBE level of DFT.

a b c (Å): 7.031 7.031 7.031
angles (deg): 90.00 90.00 90.00
Space group F-43m (No. 216)
Asymmetric unit:
Tm: 0.000 0.000 0.000
Si: 0.250 0.250 0.250
Bi: 0.250 0.250 0.750

Summary:
Magnetization (μB/cell): 0.00
Energy above the lowest structure with this stoichiometry (eV/atom): 0.134

=====

(24)
Computed, not measured: a relaxed structure of FeCoS4 at the PBE level of DFT.

a b c (Å): 5.873 5.873 2.574
angles (deg): 90.00 90.00 90.00
Space group P4/m (No. 83)
Asymmetric unit:
Fe: 0.000 0.000 0.000
Co: 0.500 0.500 0.000
S: 0.160 0.345 0.000

Summary:
Magnetization (μB/cell): 2.12
Energy above the lowest structure with this stoichiometry (eV/atom): 0.531